Material: Zn2GaSn2Pd5
Method: DFT, PBE-GGA
State: optimized geometry

The value obtained for the calculated density is 9.5 g cm⁻³. For the total magnetic moment, the calculation gives 0.000 μB per formula unit. The energy of formation from the pure elements comes out at -0.4320 eV per atom. As for the space group: No. 127.

abc: 3.259 10.213 10.213
angles: 90.00 90.00 90.00
Fractional coordinates of all 20 atoms:
Zn 0.000 0.145 0.645
Zn 0.000 0.855 0.355
Zn 0.000 0.645 0.855
Zn 0.000 0.355 0.145
Ga 0.000 0.000 0.000
Ga 0.000 0.500 0.500
Sn 0.000 0.667 0.167
Sn 0.000 0.333 0.833
Sn 0.000 0.167 0.333
Sn 0.000 0.833 0.667
Pd 0.500 0.202 0.010
Pd 0.500 0.798 0.990
Pd 0.500 0.010 0.798
Pd 0.500 0.702 0.490
Pd 0.500 0.990 0.202
Pd 0.500 0.298 0.510
Pd 0.500 0.510 0.702
Pd 0.500 0.490 0.298
Pd 0.500 0.500 0.000
Pd 0.500 0.000 0.500

=====

Material: ZnGa2Sn2Pd5
Method: DFT, PBE-GGA
State: optimized geometry

The value obtained for the calculated density is 9.4 g cm⁻³. For the total magnetic moment, the calculation gives 0.000 μB per formula unit. The energy of formation from the pure elements comes out at -0.4275 eV per atom. As for the space group: No. 127.

abc: 3.369 10.106 10.106
angles: 90.00 90.00 90.00
Fractional coordinates of all 20 atoms:
Zn 0.000 0.000 0.000
Zn 0.000 0.500 0.500
Ga 0.000 0.142 0.642
Ga 0.000 0.858 0.358
Ga 0.000 0.642 0.858
Ga 0.000 0.358 0.142
Sn 0.000 0.670 0.170
Sn 0.000 0.330 0.830
Sn 0.000 0.170 0.330
Sn 0.000 0.830 0.670
Pd 0.500 0.205 0.013
Pd 0.500 0.795 0.987
Pd 0.500 0.013 0.795
Pd 0.500 0.705 0.487
Pd 0.500 0.987 0.205
Pd 0.500 0.295 0.513
Pd 0.500 0.513 0.705
Pd 0.500 0.487 0.295
Pd 0.500 0.500 0.000
Pd 0.500 0.000 0.500

=====

Material: ZnGa2SnPd
Method: DFT, PBE-GGA
State: optimized geometry

The value obtained for the calculated density is 6.2 g cm⁻³. For the total magnetic moment, the calculation gives 0.000 μB per formula unit. The energy of formation from the pure elements comes out at 0.4095 eV per atom. As for the space group: No. 123.

abc: 4.641 4.641 5.318
angles: 90.00 90.00 90.00
Fractional coordinates of all 5 atoms:
Zn 0.000 0.000 0.000
Ga 0.000 0.500 0.000
Ga 0.500 0.000 0.000
Sn 0.000 0.000 0.500
Pd 0.500 0.500 0.500

=====

Material: Zn2GaSnPd
Method: DFT, PBE-GGA
State: optimized geometry

The value obtained for the calculated density is 5.9 g cm⁻³. For the total magnetic moment, the calculation gives 0.000 μB per formula unit. The energy of formation from the pure elements comes out at 0.0828 eV per atom. As for the space group: No. 123.

abc: 4.856 5.077 4.856
angles: 90.00 90.00 90.00
Fractional coordinates of all 5 atoms:
Zn 0.000 0.000 0.500
Zn 0.500 0.000 0.000
Ga 0.500 0.500 0.500
Sn 0.000 0.500 0.000
Pd 0.000 0.000 0.000

=====

Material: Sr2Ga3Pd6
Method: DFT, PBE-GGA
State: optimized geometry

The value obtained for the calculated density is 7.7 g cm⁻³. For the total magnetic moment, the calculation gives 0.000 μB per formula unit. The energy of formation from the pure elements comes out at -0.5815 eV per atom. As for the space group: No. 189.

abc: 4.356 7.636 7.636
angles: 120.00 90.00 90.00
Fractional coordinates of all 11 atoms:
Sr 0.000 0.667 0.333
Sr 0.000 0.333 0.667
Ga 0.500 0.375 0.375
Ga 0.500 0.625 0.000
Ga 0.500 0.000 0.625
Pd 0.500 0.712 0.712
Pd 0.500 0.000 0.288
Pd 0.000 0.207 0.207
Pd 0.000 0.793 0.000
Pd 0.500 0.288 0.000
Pd 0.000 0.000 0.793

=====

Material: Sr2Ga3Pd4
Method: DFT, PBE-GGA
State: optimized geometry

The value obtained for the calculated density is 7.6 g cm⁻³. For the total magnetic moment, the calculation gives 0.000 μB per formula unit. The energy of formation from the pure elements comes out at -0.6965 eV per atom. As for the space group: No. 64.

abc: 5.829 7.729 8.413
angles: 90.00 110.27 90.00
Fractional coordinates of all 18 atoms:
Sr 0.108 0.587 0.217
Sr 0.892 0.413 0.783
Sr 0.392 0.087 0.783
Sr 0.608 0.913 0.217
Ga 0.000 0.000 0.000
Ga 0.500 0.500 0.000
Ga 0.522 0.750 0.545
Ga 0.978 0.250 0.455
Ga 0.478 0.250 0.455
Ga 0.022 0.750 0.545
Pd 0.686 0.750 0.873
Pd 0.814 0.250 0.127
Pd 0.314 0.250 0.127
Pd 0.186 0.750 0.873
Pd 0.185 0.983 0.370
Pd 0.815 0.017 0.630
Pd 0.315 0.483 0.630
Pd 0.685 0.517 0.370

=====

Material: Sr2Ga5Pd3
Method: DFT, PBE-GGA
State: optimized geometry

The value obtained for the calculated density is 6.9 g cm⁻³. For the total magnetic moment, the calculation gives 0.000 μB per formula unit. The energy of formation from the pure elements comes out at -0.6699 eV per atom. As for the space group: No. 72.

abc: 6.009 8.852 8.852
angles: 72.88 70.16 70.16
Fractional coordinates of all 20 atoms:
Sr 0.135 0.594 0.135
Sr 0.635 0.135 0.594
Sr 0.865 0.406 0.865
Sr 0.365 0.865 0.406
Ga 0.399 0.259 0.942
Ga 0.899 0.942 0.259
Ga 0.601 0.741 0.058
Ga 0.101 0.058 0.741
Ga 0.465 0.785 0.785
Ga 0.535 0.215 0.215
Ga 0.750 0.500 0.500
Ga 0.250 0.500 0.500
Ga 0.035 0.215 0.215
Ga 0.965 0.785 0.785
Pd 0.360 0.541 0.739
Pd 0.860 0.739 0.541
Pd 0.640 0.459 0.261
Pd 0.140 0.261 0.459
Pd 0.250 0.000 0.000
Pd 0.750 0.000 0.000

=====

Material: Sr2Ga3Pd
Method: DFT, PBE-GGA
State: optimized geometry

The value obtained for the calculated density is 5.3 g cm⁻³. For the total magnetic moment, the calculation gives 0.000 μB per formula unit. The energy of formation from the pure elements comes out at -0.5540 eV per atom. As for the space group: No. 69.

abc: 6.360 6.360 8.878
angles: 111.46 111.46 88.78
Fractional coordinates of all 12 atoms:
Sr 0.250 0.750 0.500
Sr 0.736 0.736 0.000
Sr 0.750 0.250 0.500
Sr 0.264 0.264 0.000
Ga 0.333 0.837 0.169
Ga 0.163 0.667 0.831
Ga 0.667 0.163 0.831
Ga 0.837 0.333 0.169
Ga 0.168 0.168 0.335
Ga 0.832 0.832 0.665
Pd 0.666 0.666 0.331
Pd 0.334 0.334 0.669

=====

Material: SrGa2Pd2
Method: DFT, PBE-GGA
State: optimized geometry

The value obtained for the calculated density is 7.1 g cm⁻³. For the total magnetic moment, the calculation gives 0.000 μB per formula unit. The energy of formation from the pure elements comes out at -0.7088 eV per atom. As for the space group: No. 139.

abc: 4.517 4.517 5.996
angles: 67.87 67.87 90.00
Fractional coordinates of all 5 atoms:
Sr 0.000 0.000 0.000
Ga 0.367 0.367 0.267
Ga 0.633 0.633 0.733
Pd 0.750 0.250 0.500
Pd 0.250 0.750 0.500

=====

Material: SrGa5Pd7
Method: DFT, PBE-GGA
State: optimized geometry

The value obtained for the calculated density is 9.1 g cm⁻³. For the total magnetic moment, the calculation gives 0.000 μB per formula unit. The energy of formation from the pure elements comes out at -0.5663 eV per atom. As for the space group: No. 44.

abc: 5.379 6.894 6.894
angles: 82.69 67.04 67.04
Fractional coordinates of all 13 atoms:
Sr 0.999 0.001 0.001
Ga 0.499 0.007 0.488
Ga 0.006 0.007 0.488
Ga 0.499 0.488 0.007
Ga 0.006 0.488 0.007
Ga 0.727 0.773 0.773
Pd 0.655 0.345 0.345
Pd 0.340 0.660 0.660
Pd 0.988 0.356 0.667
Pd 0.988 0.667 0.356
Pd 0.271 0.229 0.229
Pd 0.511 0.777 0.202
Pd 0.511 0.202 0.777

=====

Material: SrGa2Pd2
Method: DFT, PBE-GGA
State: optimized geometry

The value obtained for the calculated density is 7.8 g cm⁻³. For the total magnetic moment, the calculation gives 0.000 μB per formula unit. The energy of formation from the pure elements comes out at -0.4745 eV per atom. As for the space group: No. 127.

abc: 7.871 7.871 3.021
angles: 90.00 90.00 90.00
Fractional coordinates of all 10 atoms:
Sr 0.000 0.000 0.000
Sr 0.500 0.500 0.000
Ga 0.146 0.646 0.500
Ga 0.646 0.854 0.500
Ga 0.854 0.354 0.500
Ga 0.354 0.146 0.500
Pd 0.359 0.859 0.000
Pd 0.859 0.641 0.000
Pd 0.641 0.141 0.000
Pd 0.141 0.359 0.000

=====

Material: Sr2Ga5Pd
Method: DFT, PBE-GGA
State: optimized geometry

The value obtained for the calculated density is 5.8 g cm⁻³. For the total magnetic moment, the calculation gives 0.000 μB per formula unit. The energy of formation from the pure elements comes out at -0.5121 eV per atom. As for the space group: No. 63.

abc: 4.434 8.880 9.387
angles: 90.00 90.00 104.46
Fractional coordinates of all 16 atoms:
Sr 0.801 0.602 0.750
Sr 0.199 0.398 0.250
Sr 0.000 0.000 0.000
Sr 0.000 0.000 0.500
Ga 0.188 0.377 0.891
Ga 0.812 0.623 0.109
Ga 0.188 0.377 0.609
Ga 0.812 0.623 0.391
Ga 0.354 0.708 0.976
Ga 0.646 0.292 0.024
Ga 0.354 0.708 0.524
Ga 0.646 0.292 0.476
Ga 0.589 0.179 0.750
Ga 0.411 0.821 0.250
Pd 0.441 0.883 0.750
Pd 0.559 0.117 0.250